Record 1
The following is a GGA-PBE calculation of a relaxed structure of SbIrS, from Alexandria via LeMat-Bulk.

Properties
- formation energy (no corrections) (eV/atom) = -0.477
- relative energy among the computed polymorphs (meV per atom) = 0

Unit cell a=6.1030 b=6.1030 c=6.1030 alpha=90.00 beta=90.00 gamma=90.00
Element x y z (fractional)
Sb  0.3769  0.3769  0.3769
Sb  0.1231  0.6231  0.8769
Sb  0.8769  0.1231  0.6231
Sb  0.6231  0.8769  0.1231
Ir  0.9865  0.5135  0.4865
Ir  0.5135  0.4865  0.9865
Ir  0.4865  0.9865  0.5135
Ir  0.0135  0.0135  0.0135
S  0.3833  0.1167  0.8833
S  0.1167  0.8833  0.3833
S  0.8833  0.3833  0.1167
S  0.6167  0.6167  0.6167



Record 2
The following is a GGA-PBE calculation of a relaxed structure of LaI, from Alexandria via LeMat-Bulk.

Properties
- formation energy (no corrections) (eV/atom) = -0.336

Unit cell a=8.8727 b=8.8727 c=8.8727 alpha=90.00 beta=90.00 gamma=90.00
Element x y z (fractional)
La  0.2500  0.0000  0.5000
La  0.7500  0.0000  0.5000
La  0.0000  0.5000  0.2500
La  0.0000  0.5000  0.7500
La  0.5000  0.2500  0.0000
La  0.5000  0.7500  0.0000
I  0.2500  0.5000  0.0000
I  0.7500  0.5000  0.0000
I  0.5000  0.0000  0.2500
I  0.5000  0.0000  0.7500
I  0.0000  0.2500  0.5000
I  0.0000  0.7500  0.5000



Record 3
The following is a GGA-PBE calculation of a relaxed structure of InP3Pb2O11, from Alexandria via LeMat-Bulk.

Properties
- formation energy (no corrections) (eV/atom) = -1.999

Unit cell a=6.7061 b=7.1853 c=20.3088 alpha=90.00 beta=99.00 gamma=90.00
Element x y z (fractional)
In  0.3272  0.3721  0.3788
In  0.1728  0.8721  0.1212
In  0.6728  0.6279  0.6212
In  0.8272  0.1279  0.8788
P  0.0925  0.0366  0.2734
P  0.4075  0.5366  0.2266
P  0.9075  0.9634  0.7266
P  0.5925  0.4634  0.7734
P  0.1609  0.6431  0.5901
P  0.3391  0.1431  0.9099
P  0.8391  0.3569  0.4099
P  0.6609  0.8569  0.0901
P  0.3608  0.3067  0.5455
P  0.1392  0.8067  0.9545
P  0.6392  0.6933  0.4545
P  0.8608  0.1933  0.0455
Pb  0.0936  0.8829  0.4235
Pb  0.4064  0.3829  0.0765
Pb  0.9064  0.1171  0.5765
Pb  0.5936  0.6171  0.9235
Pb  0.6002  0.0307  0.2653
Pb  0.8998  0.5307  0.2347
Pb  0.3998  0.9693  0.7347
Pb  0.1002  0.4693  0.7653
O  0.9856  0.8619  0.2970
O  0.5144  0.3619  0.2030
O  0.0144  0.1381  0.7030
O  0.4856  0.6381  0.7970
O  0.2461  0.1026  0.3360
O  0.2539  0.6026  0.1640
O  0.7539  0.8974  0.6640
O  0.7461  0.3974  0.8360
O  0.9316  0.1834  0.2488
O  0.5684  0.6834  0.2512
O  0.0684  0.8166  0.7512
O  0.4316  0.3166  0.7488
O  0.2267  0.9890  0.2198
O  0.2733  0.4890  0.2802
O  0.7733  0.0110  0.7802
O  0.7267  0.5110  0.7198
O  0.0003  0.5469  0.6261
O  0.4997  0.0469  0.8739
O  0.9997  0.4531  0.3739
O  0.5003  0.9531  0.1261
O  0.0762  0.8113  0.5494
O  0.4238  0.3113  0.9506
O  0.9238  0.1887  0.4506
O  0.5762  0.6887  0.0494
O  0.2231  0.4965  0.5357
O  0.2769  0.9965  0.9643
O  0.7769  0.5035  0.4643
O  0.7231  0.0035  0.0357
O  0.3567  0.6828  0.6390
O  0.1433  0.1828  0.8610
O  0.6433  0.3172  0.3610
O  0.8567  0.8172  0.1390
O  0.4246  0.6370  0.4211
O  0.0754  0.1370  0.0789
O  0.5754  0.3630  0.5789
O  0.9246  0.8630  0.9211
O  0.7377  0.8267  0.4114
O  0.7623  0.3267  0.0886
O  0.2623  0.1733  0.5886
O  0.2377  0.6733  0.9114
O  0.3634  0.2360  0.4742
O  0.1366  0.7360  0.0258
O  0.6366  0.7640  0.5258
O  0.8634  0.2640  0.9742



Record 4
The following is a GGA-PBE calculation of a relaxed structure of Ca2MgSeO6, from Alexandria via LeMat-Bulk.

Properties
- formation energy (no corrections) (eV/atom) = -2.096

Unit cell a=5.3850 b=5.4552 c=7.6309 alpha=90.00 beta=90.13 gamma=90.00
Element x y z (fractional)
Ca  0.0090  0.9576  0.2507
Ca  0.5090  0.5424  0.7507
Ca  0.9910  0.0424  0.7493
Ca  0.4910  0.4576  0.2493
Mg  0.5000  0.0000  0.0000
Mg  0.0000  0.5000  0.5000
Se  0.5000  0.0000  0.5000
Se  0.0000  0.5000  0.0000
O  0.2719  0.6952  0.0377
O  0.7719  0.8048  0.5377
O  0.7281  0.3048  0.9623
O  0.2281  0.1952  0.4623
O  0.3084  0.7281  0.4584
O  0.8084  0.7719  0.9584
O  0.6916  0.2719  0.5416
O  0.1916  0.2281  0.0416
O  0.9246  0.5201  0.2332
O  0.4246  0.9799  0.7332
O  0.0754  0.4799  0.7668
O  0.5754  0.0201  0.2668



Record 5
The following is a GGA-PBE calculation of a relaxed structure of PaCdHgBi, from Alexandria via LeMat-Bulk.

Properties
- energy relative to the elements (meV/atom) = -70.4
- relative energy among the computed polymorphs (meV per atom) = 0

Unit cell a=4.6151 b=4.4364 c=5.0717 alpha=90.00 beta=90.00 gamma=90.00
Each line ends with the local moment (μB).
Element x y z (fractional)
Pa  0.5000  0.0000  0.5000  0.80
Cd  0.0000  0.0000  0.0000  0.01
Hg  0.5000  0.5000  0.0000  0.02
Bi  0.0000  0.5000  0.5000  -0.02



Record 6
The following is a GGA-PBE calculation of a relaxed structure of NiTeCl2, from Alexandria via LeMat-Bulk.

Properties
- formation energy (no corrections) (eV/atom) = -0.021
- relative energy among the computed polymorphs (meV per atom) = 378

Unit cell a=3.2896 b=3.2896 c=8.2113 alpha=90.00 beta=90.00 gamma=90.00
Element x y z (fractional)
Ni  0.0000  0.0000  0.5246
Te  0.5000  0.5000  0.6926
Cl  0.0000  0.0000  0.9349
Cl  0.5000  0.5000  0.3479



Record 7
The following is a GGA-PBE calculation of a relaxed structure of YICl3, from Alexandria via LeMat-Bulk.

Properties
- formation energy (no corrections) (eV/atom) = 0.111
- relative energy among the computed polymorphs (meV per atom) = 1591

Unit cell a=5.6579 b=5.6579 c=5.6579 alpha=90.00 beta=90.00 gamma=90.00
Each line ends with the local moment (μB).
Element x y z (fractional)
I  0.0000  0.0000  0.0000  0.00
Y  0.5000  0.5000  0.5000  0.78
Cl  0.0000  0.5000  0.0000  0.01
Cl  0.0000  0.0000  0.5000  0.01
Cl  0.5000  0.0000  0.0000  0.00



Record 8
The following is a GGA-PBE calculation of a relaxed structure of GdScO, from Alexandria via LeMat-Bulk.

Properties
- formation energy (no corrections) (eV/atom) = -1.810

Unit cell a=5.6877 b=3.3689 c=3.3689 alpha=120.00 beta=90.00 gamma=90.00
Each line ends with the local moment (μB).
Element x y z (fractional)
Sc  0.1111  0.0000  0.0000  -0.23
Gd  0.5806  0.6667  0.3333  7.23
O  0.3083  0.3333  0.6667  0.01



Record 9
The following is a GGA-PBE calculation of a relaxed structure of TeSO5, from Alexandria via LeMat-Bulk.

Properties
- formation energy (no corrections) (eV/atom) = -1.010

Unit cell a=5.5795 b=5.5798 c=7.7471 alpha=110.60 beta=110.58 gamma=88.71
Element x y z (fractional)
Te  0.5000  0.0000  0.0000
Te  0.5000  0.0000  0.5000
S  0.8874  0.6125  0.2499
S  0.1126  0.3875  0.7501
O  0.7744  0.7130  0.0862
O  0.1734  0.6685  0.3323
O  0.4219  0.0782  0.2501
O  0.7868  0.7255  0.4135
O  0.2132  0.2745  0.5865
O  0.8316  0.3265  0.1675
O  0.1684  0.6735  0.8325
O  0.5781  0.9218  0.7499
O  0.8266  0.3315  0.6677
O  0.2256  0.2870  0.9138



Record 10
The following is a GGA-PBE calculation of a relaxed structure of SrEu3Br, from Alexandria via LeMat-Bulk.

Properties
- formation energy (no corrections) (eV/atom) = -0.437

Unit cell a=6.0039 b=6.0039 c=6.0039 alpha=90.00 beta=90.00 gamma=90.00
Each line ends with the local moment (μB).
Element x y z (fractional)
Eu  0.0000  0.5000  0.0000  7.08
Eu  0.0000  0.0000  0.5000  7.08
Eu  0.5000  0.0000  0.0000  7.08
Sr  0.5000  0.5000  0.5000  0.11
Br  0.0000  0.0000  0.0000  0.00



Record 11
The following is a GGA-PBE calculation of a relaxed structure of Rb4La3CdS8, from Alexandria via LeMat-Bulk.

Properties
- formation energy (no corrections) (eV/atom) = -1.515

Unit cell a=8.5108 b=9.1449 c=8.5231 alpha=117.77 beta=119.95 gamma=90.00
Each line ends with the local moment (μB).
Element x y z (fractional)
Rb  0.5000  0.0000  0.0000  0.01
Rb  0.5000  0.0000  0.5000  0.00
Rb  0.0000  0.0000  0.0000  0.00
Rb  0.0000  0.0000  0.5000  0.00
La  0.5000  0.5000  0.0000  0.00
La  0.5000  0.5000  0.5000  0.00
La  0.0000  0.5000  0.5000  0.00
Cd  0.0000  0.5000  0.0000  0.01
S  0.2289  0.6971  0.9679  0.09
S  0.2314  0.6990  0.4628  0.09
S  0.2671  0.3007  0.5341  0.01
S  0.7390  0.6971  0.9679  0.09
S  0.2610  0.3029  0.0321  0.09
S  0.7329  0.6993  0.4659  0.01
S  0.7686  0.3010  0.5372  0.09
S  0.7711  0.3029  0.0321  0.09



Record 12
The following is a GGA-PBE calculation of a relaxed structure of Rb2BRhBr6, from Alexandria via LeMat-Bulk.

Properties
- formation energy (no corrections) (eV/atom) = -0.622

Unit cell a=8.2188 b=8.2188 c=7.4500 alpha=56.52 beta=56.52 gamma=90.00
Element x y z (fractional)
B  0.5000  0.5000  0.0000
Rh  0.0000  0.0000  0.0000
Br  0.2991  0.2991  0.4018
Br  0.7009  0.7009  0.5982
Br  0.2176  0.2176  0.0000
Br  0.7824  0.7824  0.0000
Br  0.7824  0.2176  0.0000
Br  0.2176  0.7824  0.0000
Rb  0.7500  0.2500  0.5000
Rb  0.2500  0.7500  0.5000



Number 1: total magnetic moment 0.0 μB per cell. Number 2: total magnetic moment 0.2 μB per cell. Number 3: total magnetic moment 0.0 μB per cell. Number 4: total magnetic moment 0.0 μB per cell. Number 5: total magnetic moment 1.0 μB per cell. Number 6: total magnetic moment 0.0 μB per cell. Number 7: total magnetic moment 1.3 μB per cell. Number 8: total magnetic moment 7.2 μB per cell. Number 9: total magnetic moment 0.0 μB per cell. Number 10: total magnetic moment 24.1 μB per cell. Number 11: total magnetic moment 1.0 μB per cell. Number 12: total magnetic moment 0.0 μB per cell.